1.
# Tb3Y8Tm4 | the Alexandria database | PBE-GGA | relaxed
data_Tb3Y8Tm4
_symmetry_space_group_name_H-M 'P 1'
_symmetry_Int_Tables_number 1
_cell_length_a 6.931
_cell_length_b 6.931
_cell_length_c 12.377
_cell_angle_alpha 73.74
_cell_angle_beta 73.74
_cell_angle_gamma 60.00
loop_
_symmetry_equiv_pos_as_xyz
'x,y,z'
loop_
_atom_site_label
_atom_site_type_symbol
_atom_site_fract_x
_atom_site_fract_y
_atom_site_fract_z
_atom_site_occupancy
Y1 Y 0.249 0.249 0.751 1
Y2 Y 0.751 0.250 0.249 1
Y3 Y 0.750 0.249 0.751 1
Y4 Y 0.245 0.245 0.264 1
Y5 Y 0.755 0.755 0.736 1
Y6 Y 0.751 0.751 0.249 1
Y7 Y 0.250 0.751 0.249 1
Y8 Y 0.249 0.750 0.751 1
Tb1 Tb 0.000 0.000 0.500 1
Tb2 Tb 0.000 0.500 0.500 1
Tb3 Tb 0.500 0.000 0.500 1
Tm1 Tm 0.664 0.664 0.007 1
Tm2 Tm 0.000 0.000 0.000 1
Tm3 Tm 0.500 0.500 0.500 1
Tm4 Tm 0.336 0.336 0.993 1
# Calculated total energy (eV/atom): -5.399
# Total moment (Bohr magnetons per cell): 0.585
# Crystal system: trigonal
# SG: R-3m
# Energy relative to the elements (meV/atom): 167.0
# E above lowest polymorph (meV per atom): 0



2.
# Tb2YTm | the Alexandria database | PBE-GGA | relaxed
data_Tb2YTm
_symmetry_space_group_name_H-M 'P 1'
_symmetry_Int_Tables_number 1
_cell_length_a 3.545
_cell_length_b 3.545
_cell_length_c 10.033
_cell_angle_alpha 90.00
_cell_angle_beta 90.00
_cell_angle_gamma 90.00
loop_
_symmetry_equiv_pos_as_xyz
'x,y,z'
loop_
_atom_site_label
_atom_site_type_symbol
_atom_site_fract_x
_atom_site_fract_y
_atom_site_fract_z
_atom_site_occupancy
Tb1 Tb 0.000 0.000 0.753 1
Tb2 Tb 0.000 0.000 0.247 1
Y1 Y 0.500 0.500 0.500 1
Tm1 Tm 0.500 0.500 0.000 1
# Calculated total energy (eV/atom): -5.027
# Total moment (Bohr magnetons per cell): 0.000
# Crystal system: tetragonal
# SG: P4/mmm
# Energy relative to the elements (meV/atom): 21.9
# E above lowest polymorph (meV per atom): 11



3.
# Tb7YTm2 | the Alexandria database | PBE-GGA | relaxed
data_Tb7YTm2
_symmetry_space_group_name_H-M 'P 1'
_symmetry_Int_Tables_number 1
_cell_length_a 6.138
_cell_length_b 10.632
_cell_length_c 7.932
_cell_angle_alpha 107.35
_cell_angle_beta 104.94
_cell_angle_gamma 39.72
loop_
_symmetry_equiv_pos_as_xyz
'x,y,z'
loop_
_atom_site_label
_atom_site_type_symbol
_atom_site_fract_x
_atom_site_fract_y
_atom_site_fract_z
_atom_site_occupancy
Tb1 Tb 0.500 0.500 0.000 1
Tb2 Tb 0.197 0.401 0.200 1
Tb3 Tb 0.300 0.100 0.799 1
Tb4 Tb 0.900 0.301 0.401 1
Tb5 Tb 0.803 0.599 0.800 1
Tb6 Tb 0.700 0.900 0.201 1
Tb7 Tb 0.100 0.699 0.599 1
Tm1 Tm 0.601 0.199 0.598 1
Tm2 Tm 0.399 0.801 0.402 1
Y1 Y 0.000 0.000 0.000 1
# Calculated total energy (eV/atom): -4.763
# Total moment (Bohr magnetons per cell): 0.000
# Crystal system: triclinic
# SG: P-1
# Energy relative to the elements (meV/atom): 18.4
# E above lowest polymorph (meV per atom): 0